Entry 1:
The following is a DFT calculation (PBE-GGA) of an optimized crystal structure of RbLiZnHSe.

Cell: 4.346 4.350 7.295 Å, 92.88 90.94 117.99°
Positions (direct):
Rb 0.000 0.000 0.000
Li 0.710 0.380 0.409
Zn 0.297 0.571 0.636
H 0.877 0.480 0.696
Se 0.367 0.706 0.314

Computed properties:
The crystal system is triclinic. The density of states at the Fermi level is 1.249 states/eV per cell. The relative energy among the computed polymorphs comes out at 46.9 meV/atom. As for the space-group type: P1 (1).


Entry 2:
The following is a DFT calculation (PBE-GGA) of an optimized crystal structure of Pr3SmTm6.

Cell: 6.634 6.634 9.686 Å, 111.41 111.41 59.12°
Positions (direct):
Pr 0.000 0.000 0.000
Pr 0.071 0.071 0.699
Pr 0.929 0.929 0.301
Sm 0.500 0.500 0.500
Tm 0.067 0.562 0.688
Tm 0.363 0.363 0.078
Tm 0.438 0.933 0.312
Tm 0.562 0.067 0.688
Tm 0.637 0.637 0.922
Tm 0.933 0.438 0.312

Computed properties:
The crystal system is monoclinic. The density of states at the Fermi level is 17.687 states/eV per cell. The value obtained for the formation energy is 0.229 eV/atom. As for the space-group type: C2/m (12).


Entry 3:
The following is a DFT calculation (PBE-GGA) of an optimized crystal structure of SrTmRu2O8.

Cell: 5.857 5.857 7.148 Å, 90.00 90.00 120.00°
Positions (direct):
Sr 0.000 0.000 0.000
Tm 0.000 0.000 0.500
Ru 0.333 0.667 0.783
Ru 0.667 0.333 0.217
O 0.161 0.322 0.707
O 0.161 0.839 0.707
O 0.322 0.161 0.293
O 0.333 0.667 0.032
O 0.667 0.333 0.968
O 0.678 0.839 0.707
O 0.839 0.161 0.293
O 0.839 0.678 0.293

Computed properties:
As for the total energy: -0.517 Ry per atom. The crystal system is trigonal. The density of states at the Fermi level is 5.717 states/eV per cell. As for the space-group type: P-3m1 (164).


Entry 4:
The following is a DFT calculation (PBE-GGA) of an optimized crystal structure of NdYCd4.

Cell: 5.961 5.961 5.961 Å, 60.00 60.00 60.00°
Positions (direct):
Nd 0.000 0.000 0.000
Y 0.750 0.750 0.750
Cd 0.375 0.375 0.375
Cd 0.375 0.375 0.875
Cd 0.375 0.875 0.375
Cd 0.875 0.375 0.375

Computed properties:
The crystal system is cubic. The density of states at the Fermi level is 4.102 states/eV per cell. The value obtained for the formation energy is -0.287 eV/atom. The relative energy among the computed polymorphs comes out at 52.3 meV/atom. As for the space-group type: F-43m (216).


Entry 5:
The following is a DFT calculation (PBE-GGA) of an optimized crystal structure of ZnSbW2.

Cell: 6.449 6.449 6.449 Å, 90.00 90.00 90.00°
Positions (direct):
Zn 0.000 0.000 0.000
Zn 0.000 0.500 0.500
Zn 0.500 0.000 0.500
Zn 0.500 0.500 0.000
Sb 0.000 0.000 0.500
Sb 0.000 0.500 0.000
Sb 0.500 0.000 0.000
Sb 0.500 0.500 0.500
W 0.250 0.250 0.250
W 0.250 0.250 0.750
W 0.250 0.750 0.250
W 0.250 0.750 0.750
W 0.750 0.250 0.250
W 0.750 0.250 0.750
W 0.750 0.750 0.250
W 0.750 0.750 0.750

Computed properties:
The crystal system is cubic. The density of states at the Fermi level is 9.534 states/eV per cell. The relative energy among the computed polymorphs comes out at 404.9 meV/atom. As for the space-group type: Fm-3m (225).


Entry 6:
The following is a DFT calculation (PBE-GGA) of an optimized crystal structure of Pa2S3.

Cell: 7.384 7.384 7.384 Å, 54.99 54.99 54.99°
Positions (direct):
Pa 0.157 0.157 0.157
Pa 0.343 0.343 0.343
Pa 0.657 0.657 0.657
Pa 0.843 0.843 0.843
S 0.061 0.750 0.439
S 0.250 0.561 0.939
S 0.439 0.061 0.750
S 0.561 0.939 0.250
S 0.750 0.439 0.061
S 0.939 0.250 0.561

Computed properties:
The crystal system is trigonal. The density of states at the Fermi level is 14.487 states/eV per cell. The relative energy among the computed polymorphs comes out at 198.8 meV/atom. As for the space-group type: R-3c (167).


Entry 7:
The following is a DFT calculation (PBE-GGA) of an optimized crystal structure of AgBiTe3.

Cell: 8.146 4.423 8.925 Å, 90.00 91.41 90.00°
Positions (direct):
Ag 0.219 0.250 0.396
Ag 0.781 0.750 0.604
Bi 0.213 0.250 0.887
Bi 0.787 0.750 0.113
Te 0.167 0.750 0.594
Te 0.174 0.750 0.127
Te 0.479 0.750 0.755
Te 0.521 0.250 0.245
Te 0.826 0.250 0.873
Te 0.833 0.250 0.406

Computed properties:
The crystal system is monoclinic. The density of states at the Fermi level is 1.846 states/eV per cell. The relative energy among the computed polymorphs comes out at 0.0 meV/atom. As for the space-group type: P2_1/m (11).


Entry 8:
The following is a DFT calculation (PBE-GGA) of an optimized crystal structure of TbTlNi.

Cell: 6.521 6.521 6.521 Å, 90.00 90.00 90.00°
Positions (direct):
Tb 0.000 0.000 0.000
Tb 0.000 0.500 0.500
Tb 0.500 0.000 0.500
Tb 0.500 0.500 0.000
Tl 0.000 0.000 0.500
Tl 0.000 0.500 0.000
Tl 0.500 0.000 0.000
Tl 0.500 0.500 0.500
Ni 0.250 0.250 0.750
Ni 0.250 0.750 0.250
Ni 0.750 0.250 0.250
Ni 0.750 0.750 0.750

Computed properties:
The crystal system is cubic. The density of states at the Fermi level is 17.657 states/eV per cell. The value obtained for the formation energy is -0.222 eV/atom. As for the space-group type: F-43m (216).